[1]
Computed, not measured: a geometry-optimized TmLu3Te2C2 structure at the PBE level of DFT.

total moment: 0.00 μB per cell
DFT total energy: -6.237 eV per atom

Cell lengths 3.7496, 3.7496, 13.7146 Å; angles 90.00, 90.00, 120.00 degrees
Last column: nearest neighbours and their distance in Å.
Space group P3m1 (No. 156)
One atom of each set of equivalent atoms:
Tm (0.0000, 0.0000, 0.0000)  3 C 2.51
Lu (0.0000, 0.0000, 0.6839)  3 C 2.50
Lu (0.6667, 0.3333, 0.1841)  3 C 2.50
Lu (0.6667, 0.3333, 0.5002)  3 C 2.50
Te (0.0000, 0.0000, 0.3420)  6 Lu 3.06
Te (0.6667, 0.3333, 0.8418)  3 Lu 3.06, 3 Tm 3.07
C (0.3333, 0.6667, 0.0923)  3 Lu 2.50, 3 Tm 2.51
C (0.3333, 0.6667, 0.5920)  6 Lu 2.50

[2]
Computed, not measured: a geometry-optimized CdCoMo4N2 structure at the PBE level of DFT.

total moment: 1.12 μB per cell
DFT total energy: -8.439 eV per atom

Cell lengths 2.8551, 2.8551, 14.7505 Å; angles 90.00, 90.00, 120.00 degrees
Last column: nearest neighbours and their distance in Å.
Space group P-6m2 (No. 187)
One atom of each set of equivalent atoms:
Cd (0.0000, 0.0000, 0.0000)  6 Cd 2.86, 6 Mo 3.00
Co (0.6667, 0.3333, 0.5000)  6 Mo 2.67, 6 Co 2.86
Mo (0.0000, 0.0000, 0.3579)  3 N 2.17
Mo (0.6667, 0.3333, 0.1700)  3 N 2.14
N (0.3333, 0.6667, 0.2625)  6 Mo 2.14-2.17

[3]
Computed, not measured: a geometry-optimized SmHoZr structure at the PBE level of DFT.

total moment: 1.52 μB per cell
calculated formation energy: 0.9373 eV/atom
distance to the lowest polymorph of the same formula: 0 meV per atom

Cell lengths 7.3459, 7.3459, 7.3459 Å; angles 90.00, 90.00, 90.00 degrees
Last column: nearest neighbours and their distance in Å.
Space group F-43m (No. 216)
One atom of each set of equivalent atoms:
Sm (0.0000, 0.0000, 0.0000)  4 Ho 3.18
Ho (0.2500, 0.2500, 0.2500)  4 Sm 3.18, 4 Zr 3.18
Zr (0.0000, 0.0000, 0.5000)  4 Ho 3.18

[4]
Computed, not measured: a geometry-optimized TbHg2 structure at the PBE level of DFT.

total moment: 0.04 μB per cell
calculated formation energy: -0.2137 eV/atom

Cell lengths 8.3614, 8.3614, 8.3614 Å; angles 90.00, 90.00, 90.00 degrees
Last column: nearest neighbours and their distance in Å.
Space group Fd-3m (No. 227, origin choice 2)
One atom of each set of equivalent atoms:
Tb (0.1250, 0.1250, 0.1250)  12 Hg 3.47, 4 Tb 3.62
Hg (0.0000, 0.0000, 0.5000)  6 Hg 2.96

[5]
Computed, not measured: a geometry-optimized BaSrCo structure at the PBE level of DFT.

total moment: 3.24 μB per cell
distance to the lowest polymorph of the same formula: 0 meV per atom

Cell lengths 7.5255, 7.5255, 7.5255 Å; angles 90.00, 90.00, 90.00 degrees
Last column: nearest neighbours and their distance in Å.
Space group F-43m (No. 216)
One atom of each set of equivalent atoms:
Ba (0.0000, 0.0000, 0.0000)  4 Co 3.26
Sr (0.0000, 0.0000, 0.5000)  4 Co 3.26
Co (0.2500, 0.2500, 0.2500)  4 Ba 3.26, 4 Sr 3.26

[6]
Computed, not measured: a geometry-optimized DyCoCuSi2 structure at the PBE level of DFT.

total moment: 0.95 μB per cell
DFT total energy: -5.902 eV per atom

Cell lengths 3.9530, 3.9530, 9.7102 Å; angles 90.00, 90.00, 90.00 degrees
Last column: nearest neighbours and their distance in Å.
Space group I-4m2 (No. 119)
One atom of each set of equivalent atoms:
Dy (0.0000, 0.0000, 0.0000)  8 Si 3.04, 4 Co 3.13, 4 Cu 3.13
Co (0.0000, 0.5000, 0.2500)  4 Si 2.33
Cu (0.0000, 0.5000, 0.7500)  4 Si 2.33
Si (0.0000, 0.0000, 0.3764)  2 Co 2.33, 2 Cu 2.33, 1 Si 2.40

[7]
Computed, not measured: a geometry-optimized Er2TmGe4Pd4 structure at the PBE level of DFT.

total moment: 0.01 μB per cell
DFT total energy: -5.696 eV per atom

Cell lengths 4.1544, 7.0982, 13.9229 Å; angles 90.00, 90.00, 90.00 degrees
Last column: nearest neighbours and their distance in Å.
Space group Immm (No. 71)
One atom of each set of equivalent atoms:
Er (0.0000, 0.0000, 0.1256)  6 Ge 3.01-3.03, 6 Pd 3.05-3.12
Tm (0.0000, 0.5000, 0.0000)  6 Ge 3.04
Ge (0.0000, 0.3117, 0.5000)  2 Pd 2.56, 1 Ge 2.67
Ge (0.0000, 0.5000, 0.2181)  6 Pd 2.59
Pd (0.0000, 0.2012, 0.3251)  4 Ge 2.56-2.59, 1 Pd 2.86

[8]
Computed, not measured: a geometry-optimized Na2TaSbSe4 structure at the PBE level of DFT.

total moment: 0.01 μB per cell
DFT total energy: -4.733 eV per atom

Cell lengths 3.7286, 3.7286, 15.1427 Å; angles 90.00, 90.00, 120.00 degrees
Last column: nearest neighbours and their distance in Å.
Space group P-6m2 (No. 187)
One atom of each set of equivalent atoms:
Na (0.0000, 0.0000, 0.2430)  6 Se 2.93-3.00
Ta (0.0000, 0.0000, 0.0000)  6 Se 2.68
Sb (0.0000, 0.0000, 0.5000)  6 Se 2.87
Se (0.3333, 0.6667, 0.3742)  3 Sb 2.87, 3 Na 2.93
Se (0.6667, 0.3333, 0.1050)  3 Ta 2.68

Look up the total moment of the eighth one.
0.01 μB per cell